Density functional theory data (PBE) for an optimized crystal structure of KMgTl2.

## Properties
* formation energy: -0.05 eV per atom

Cell: 5.0261 5.0261 19.0237 Å, 90.00 90.00 120.00°
Space group R-3m (No. 166, hexagonal axes)
Inequivalent atoms, fractional coordinates:
1 K 0.0000 0.0000 0.0000 (multiplicity 3)
2 Mg 0.0000 0.0000 0.5000 (multiplicity 3)
3 Tl 0.0000 0.0000 0.2145 (multiplicity 6)

***

Density functional theory data (PBE) for an optimized crystal structure of KMg2Tl.

## Properties
* formation energy: 0.11 eV per atom

Cell: 5.463 5.463 7.958 Å, 90.00 90.00 90.00°
Space group I-4m2 (No. 119)
Inequivalent atoms, fractional coordinates:
1 K 0.000 0.000 0.000 (multiplicity 2)
2 Mg 0.000 0.000 0.500 (multiplicity 2)
3 Mg 0.000 0.500 0.750 (multiplicity 2)
4 Tl 0.000 0.500 0.250 (multiplicity 2)

***

formation energy of number 2 (KMg2Tl)?
0.11 eV per atom

***

The highest formation energy belongs to which entry?
KMg2Tl